8
Lattice="5.710 0.000 0.000 0.000 4.958 0.000 0.000 0.000 9.739" Properties=species:S:1:pos:R:3 comment="RbS, optimized geometry, DFT GGA-PBE" spacegroup="Immm (71)" formation_energy_uncorrected_ev_per_atom=-0.83 pbc="T T T"
S 1.783 2.479 0.000
S 3.927 2.479 0.000
S 4.638 0.000 4.870
S 1.072 0.000 4.870
Rb 0.000 0.000 8.004
Rb 0.000 0.000 1.735
Rb 2.855 2.479 3.134
Rb 2.855 2.479 6.605



5
Lattice="4.850 0.000 0.000 0.000 4.850 0.000 0.000 0.000 4.850" Properties=species:S:1:pos:R:3 comment="Re3AsAu, optimized geometry, DFT GGA-PBE" e_form_mev_per_atom=2998.7 spacegroup="Pm-3m (221)" pbc="T T T"
Re 0.000 2.425 0.000
Re 0.000 0.000 2.425
Re 2.425 0.000 0.000
As 2.425 2.425 2.425
Au 0.000 0.000 0.000



6
Lattice="-0.952 -1.064 -5.185 4.026 0.166 -3.562 1.840 -4.553 -2.193" Properties=species:S:1:pos:R:3 comment="PmVPt4, optimized geometry, DFT GGA-PBE" e_form_mev_per_atom=-575.2 spacegroup="F-43m (216)" pbc="T T T"
V 1.228 -1.363 -2.735
Pt 2.153 -1.141 -5.740
Pt 1.067 -3.485 -5.059
Pt 3.067 -3.403 -6.829
Pt 3.540 -2.874 -4.253
Pm 0.000 0.000 0.000



80
Lattice="-10.713 3.239 0.643 4.143 -1.284 10.338 5.936 7.784 -5.464" Properties=species:S:1:pos:R:3 comment="Na3Re5N12, optimized geometry, DFT GGA-PBE" spacegroup="Ia-3d (230)" formation_energy_uncorrected_ev_per_atom=0.04 pbc="T T T"
Na -5.740 2.921 3.676
Na -5.525 2.844 7.633
Na 2.799 5.116 4.579
Na 0.065 3.568 -0.596
Na -7.373 4.620 0.489
Na 0.056 2.358 5.336
Na -0.691 7.381 0.181
Na 6.738 5.119 5.028
Na -0.700 6.170 6.113
Na -3.434 4.622 0.938
Na 4.890 6.895 -2.116
Na 5.105 6.818 1.841
Re 1.698 1.869 2.591
Re 2.071 -0.642 5.169
Re 0.000 0.000 0.000
Re -2.240 1.867 2.143
Re -2.389 5.512 -2.410
Re -3.285 0.977 5.491
Re 3.994 2.361 5.785
Re -2.324 9.080 -3.006
Re -3.220 4.546 4.895
Re 0.952 6.892 -2.565
Re -1.587 2.847 8.082
Re -0.317 4.869 2.758
Re -5.357 1.619 0.322
Re 2.968 3.892 -2.732
Re 2.585 5.193 0.622
Re 1.689 0.659 8.523
Re 5.039 3.250 2.437
Re -4.629 7.378 -0.268
Re 1.605 7.872 3.374
Re -2.333 7.869 2.926
N -0.933 9.847 -3.919
N 0.998 3.442 3.217
N 3.509 1.976 2.330
N -3.961 2.211 1.617
N 0.714 6.302 3.686
N 3.590 0.646 5.283
N 2.513 3.283 6.343
N 3.311 -0.011 9.048
N -2.452 7.281 -3.329
N -3.835 2.891 5.387
N -4.355 5.071 3.556
N 0.871 9.277 4.294
N 4.645 3.353 4.389
N -2.144 1.356 3.900
N 5.228 2.161 7.124
N -0.504 5.968 -1.946
N 1.029 1.423 0.945
N -1.902 1.583 6.793
N -3.035 3.937 8.346
N 1.258 0.636 3.872
N 0.645 7.644 -4.207
N -1.475 4.495 4.339
N -3.214 5.725 6.297
N -1.964 9.442 -1.247
N 0.840 5.243 1.178
N 2.579 4.014 -0.780
N 1.329 0.297 6.764
N 2.400 5.801 -2.829
N -1.280 2.095 9.724
N -1.893 9.103 1.645
N 1.267 8.156 -1.276
N -0.131 3.771 7.463
N -1.664 8.316 4.572
N -5.863 7.578 -1.607
N -5.280 6.386 1.128
N -1.506 0.462 1.223
N 1.509 8.383 1.617
N 1.817 2.458 8.846
N 3.200 6.847 0.130
N 3.720 4.668 1.961
N -3.946 9.750 -3.531
N -3.148 6.456 -0.826
N 3.326 7.528 3.900
N -4.225 9.093 0.234
N -1.349 3.437 1.831
N -4.143 7.763 3.187
N -1.633 6.297 2.300
N 0.298 -0.108 9.436